# Y2Tm3Te8 (PBE, optimized geometry)
data_Y2Tm3Te8
_chemical_formula_sum 'Y2 Tm3 Te8'
_cell_length_a 7.448
_cell_length_b 8.637
_cell_length_c 8.756
_cell_angle_alpha 119.55
_cell_angle_beta 106.00
_cell_angle_gamma 90.00
_space_group_name_H-M_alt 'P 1'
_space_group_IT_number 1
_space_group_name_Hall 'P 1'
loop_
_atom_site_label
_atom_site_fract_x
_atom_site_fract_y
_atom_site_fract_z
Te1 0.903 0.617 0.235
Y1 0.670 0.749 0.498
Te2 0.913 0.119 0.239
Te3 0.097 0.383 0.765
Te4 0.588 0.128 0.759
Tm1 0.500 0.000 0.000
Tm2 0.000 0.257 0.000
Te5 0.412 0.368 0.241
Te6 0.087 0.881 0.761
Te7 0.588 0.632 0.759
Y2 0.330 0.251 0.502
Tm3 0.000 0.743 0.000
Te8 0.412 0.872 0.241
# theoretical density: 6.09 g cm⁻³
# uncorrected formation energy: -1.247 eV/atom


# PmPrBeN2 (PBE, optimized geometry)
data_PmPrBeN2
_chemical_formula_sum 'Pm2 Pr2 Be2 N4'
_cell_length_a 5.122
_cell_length_b 5.205
_cell_length_c 6.851
_cell_angle_alpha 90.01
_cell_angle_beta 90.00
_cell_angle_gamma 90.00
_space_group_name_H-M_alt 'P 1'
_space_group_IT_number 1
_space_group_name_Hall 'P 1'
loop_
_atom_site_label
_atom_site_fract_x
_atom_site_fract_y
_atom_site_fract_z
N1 0.220 0.792 0.500
N2 0.220 0.208 0.000
Pr1 0.000 0.500 0.750
Pr2 0.000 0.500 0.250
Be1 0.000 0.000 0.000
Pm1 0.500 0.000 0.750
Pm2 0.500 0.000 0.250
N3 0.780 0.208 0.500
N4 0.780 0.792 0.000
Be2 0.000 0.000 0.500
# theoretical density: 5.87 g cm⁻³
# uncorrected formation energy: -0.817 eV/atom


# ScTl2TeO8 (PBE, optimized geometry)
data_ScTl2TeO8
_chemical_formula_sum 'Sc1 Tl2 Te1 O8'
_cell_length_a 5.037
_cell_length_b 5.036
_cell_length_c 6.609
_cell_angle_alpha 90.00
_cell_angle_beta 90.00
_cell_angle_gamma 92.35
_space_group_name_H-M_alt 'P 1'
_space_group_IT_number 1
_space_group_name_Hall 'P 1'
loop_
_atom_site_label
_atom_site_fract_x
_atom_site_fract_y
_atom_site_fract_z
O1 0.284 0.283 0.000
O2 0.174 0.825 0.774
O3 0.716 0.717 0.000
O4 0.174 0.825 0.226
Sc1 0.000 0.000 0.500
O5 0.826 0.175 0.774
Tl1 0.500 0.500 0.748
O6 0.826 0.175 0.226
O7 0.706 0.707 0.500
Tl2 0.500 0.500 0.252
O8 0.294 0.293 0.500
Te1 0.000 0.000 0.000
# theoretical density: 7.03 g cm⁻³
# uncorrected formation energy: -1.215 eV/atom


# SrLi4 (PBE, optimized geometry)
data_SrLi4
_chemical_formula_sum 'Sr1 Li4'
_cell_length_a 6.582
_cell_length_b 6.582
_cell_length_c 6.582
_cell_angle_alpha 109.47
_cell_angle_beta 109.47
_cell_angle_gamma 109.47
_space_group_name_H-M_alt 'P 1'
_space_group_IT_number 1
_space_group_name_Hall 'P 1'
loop_
_atom_site_label
_atom_site_fract_x
_atom_site_fract_y
_atom_site_fract_z
Li1 0.000 0.500 0.000
Li2 0.500 0.000 0.000
Li3 0.500 0.500 0.500
Sr1 0.000 0.000 0.000
Li4 0.000 0.000 0.500
# energy relative to the lowest polymorph listed for this composition: 0.5919 eV/atom
# theoretical density: 0.87 g cm⁻³


# Mo2WSe (PBE, optimized geometry)
data_Mo2WSe
_chemical_formula_sum 'Mo2 W1 Se1'
_cell_length_a 2.978
_cell_length_b 4.236
_cell_length_c 5.115
_cell_angle_alpha 90.00
_cell_angle_beta 90.00
_cell_angle_gamma 90.00
_space_group_name_H-M_alt 'P 1'
_space_group_IT_number 1
_space_group_name_Hall 'P 1'
loop_
_atom_site_label
_atom_site_fract_x
_atom_site_fract_y
_atom_site_fract_z
Mo1 0.000 0.000 0.993
Se1 0.000 0.000 0.493
Mo2 0.500 0.500 0.253
W1 0.500 0.500 0.761
# theoretical density: 11.70 g cm⁻³
# uncorrected formation energy: 0.357 eV/atom


# HgTe4Pt2 (PBE, optimized geometry)
data_HgTe4Pt2
_chemical_formula_sum 'Hg2 Te8 Pt4'
_cell_length_a 8.256
_cell_length_b 8.265
_cell_length_c 8.265
_cell_angle_alpha 59.66
_cell_angle_beta 60.04
_cell_angle_gamma 60.04
_space_group_name_H-M_alt 'P 1'
_space_group_IT_number 1
_space_group_name_Hall 'P 1'
loop_
_atom_site_label
_atom_site_fract_x
_atom_site_fract_y
_atom_site_fract_z
Te1 0.232 0.799 0.737
Hg1 0.500 0.500 0.000
Te2 0.765 0.766 0.266
Te3 0.202 0.766 0.266
Te4 0.768 0.201 0.263
Pt1 0.000 0.500 0.500
Te5 0.235 0.234 0.734
Pt2 0.000 0.000 0.500
Te6 0.232 0.237 0.299
Hg2 0.000 0.500 0.000
Te7 0.798 0.234 0.734
Te8 0.768 0.763 0.701
Pt3 0.000 0.000 0.000
Pt4 0.500 0.000 0.500
# theoretical density: 9.19 g cm⁻³
# uncorrected formation energy: -0.278 eV/atom


# CaAc2HoSe4 (PBE, optimized geometry)
data_CaAc2HoSe4
_chemical_formula_sum 'Ca1 Ac2 Ho1 Se4'
_cell_length_a 4.224
_cell_length_b 7.335
_cell_length_c 7.640
_cell_angle_alpha 108.50
_cell_angle_beta 90.00
_cell_angle_gamma 90.00
_space_group_name_H-M_alt 'P 1'
_space_group_IT_number 1
_space_group_name_Hall 'P 1'
loop_
_atom_site_label
_atom_site_fract_x
_atom_site_fract_y
_atom_site_fract_z
Ho1 0.500 0.500 0.000
Se1 0.500 0.245 0.223
Se2 0.000 0.263 0.780
Se3 0.000 0.737 0.220
Ca1 0.000 0.000 0.000
Ac1 0.000 0.500 0.500
Ac2 0.500 0.000 0.500
Se4 0.500 0.755 0.777
# theoretical density: 7.21 g cm⁻³
# uncorrected formation energy: -1.842 eV/atom


# Cd2MoW (PBE, optimized geometry)
data_Cd2MoW
_chemical_formula_sum 'Cd2 Mo1 W1'
_cell_length_a 2.841
_cell_length_b 2.841
_cell_length_c 9.823
_cell_angle_alpha 90.00
_cell_angle_beta 90.00
_cell_angle_gamma 110.75
_space_group_name_H-M_alt 'P 1'
_space_group_IT_number 1
_space_group_name_Hall 'P 1'
loop_
_atom_site_label
_atom_site_fract_x
_atom_site_fract_y
_atom_site_fract_z
Cd1 0.500 0.500 0.267
Cd2 0.000 0.000 0.984
W1 0.500 0.500 0.729
Mo1 0.000 0.000 0.519
# energy relative to the lowest polymorph listed for this composition: 0.0000 eV/atom
# theoretical density: 11.30 g cm⁻³


# CaYHgSb (PBE, optimized geometry)
data_CaYHgSb
_chemical_formula_sum 'Ca1 Y1 Hg1 Sb1'
_cell_length_a 5.356
_cell_length_b 5.356
_cell_length_c 5.356
_cell_angle_alpha 60.00
_cell_angle_beta 60.00
_cell_angle_gamma 60.00
_space_group_name_H-M_alt 'P 1'
_space_group_IT_number 1
_space_group_name_Hall 'P 1'
loop_
_atom_site_label
_atom_site_fract_x
_atom_site_fract_y
_atom_site_fract_z
Ca1 0.500 0.500 0.500
Sb1 0.750 0.750 0.750
Y1 0.000 0.000 0.000
Hg1 0.250 0.250 0.250
# theoretical density: 6.90 g cm⁻³
# uncorrected formation energy: -0.633 eV/atom


# LiCeSi2 (PBE, optimized geometry)
data_LiCeSi2
_chemical_formula_sum 'Li4 Ce4 Si8'
_cell_length_a 3.857
_cell_length_b 7.679
_cell_length_c 10.424
_cell_angle_alpha 90.00
_cell_angle_beta 90.00
_cell_angle_gamma 90.00
_space_group_name_H-M_alt 'P 1'
_space_group_IT_number 1
_space_group_name_Hall 'P 1'
loop_
_atom_site_label
_atom_site_fract_x
_atom_site_fract_y
_atom_site_fract_z
Si1 0.250 0.234 0.570
Ce1 0.750 0.863 0.135
Si2 0.750 0.337 0.683
Ce2 0.750 0.363 0.365
Si3 0.250 0.663 0.317
Li1 0.750 0.008 0.606
Si4 0.750 0.837 0.817
Si5 0.250 0.734 0.930
Si6 0.750 0.766 0.430
Ce3 0.250 0.637 0.635
Si7 0.750 0.266 0.070
Ce4 0.250 0.137 0.865
Si8 0.250 0.163 0.183
Li2 0.250 0.492 0.106
Li3 0.250 0.992 0.394
Li4 0.750 0.508 0.894
# energy relative to the lowest polymorph listed for this composition: 0.0000 eV/atom
# theoretical density: 4.37 g cm⁻³
# uncorrected formation energy: -0.554 eV/atom


# KBa2Mo (PBE, optimized geometry)
data_KBa2Mo
_chemical_formula_sum 'K1 Ba2 Mo1'
_cell_length_a 4.490
_cell_length_b 4.913
_cell_length_c 10.083
_cell_angle_alpha 75.90
_cell_angle_beta 90.00
_cell_angle_gamma 90.00
_space_group_name_H-M_alt 'P 1'
_space_group_IT_number 1
_space_group_name_Hall 'P 1'
loop_
_atom_site_label
_atom_site_fract_x
_atom_site_fract_y
_atom_site_fract_z
K1 0.000 0.667 0.542
Ba1 0.000 0.985 0.905
Mo1 0.500 0.508 0.857
Ba2 0.500 0.340 0.196
# energy relative to the lowest polymorph listed for this composition: 0.2021 eV/atom
# theoretical density: 3.15 g cm⁻³


# Y3Sb5Te12 (PBE, optimized geometry)
data_Y3Sb5Te12
_chemical_formula_sum 'Y12 Sb20 Te48'
_cell_length_a 15.715
_cell_length_b 15.715
_cell_length_c 15.715
_cell_angle_alpha 109.47
_cell_angle_beta 109.47
_cell_angle_gamma 109.47
_space_group_name_H-M_alt 'P 1'
_space_group_IT_number 1
_space_group_name_Hall 'P 1'
loop_
_atom_site_label
_atom_site_fract_x
_atom_site_fract_y
_atom_site_fract_z
Te1 0.918 0.833 0.777
Te2 0.586 0.945 0.667
Te3 0.333 0.555 0.414
Sb1 0.500 0.500 0.000
Sb2 0.000 0.000 0.500
Te4 0.667 0.223 0.582
Sb3 0.000 0.500 0.500
Te5 0.914 0.082 0.859
Y1 0.375 0.625 0.250
Te6 0.277 0.859 0.945
Sb4 0.875 0.625 0.750
Te7 0.082 0.167 0.223
Y2 0.250 0.625 0.875
Y3 0.875 0.125 0.250
Te8 0.445 0.667 0.086
Te9 0.277 0.418 0.833
Te10 0.777 0.445 0.359
Sb5 0.250 0.375 0.625
Te11 0.777 0.333 0.918
Sb6 0.875 0.250 0.625
Te12 0.414 0.055 0.333
Te13 0.141 0.418 0.086
Te14 0.918 0.086 0.641
Sb7 0.000 0.000 0.000
Y4 0.625 0.375 0.750
Te15 0.223 0.667 0.082
Te16 0.582 0.723 0.667
Y5 0.250 0.125 0.375
Y6 0.875 0.750 0.125
Sb8 0.375 0.250 0.125
Sb9 0.750 0.625 0.375
Y7 0.625 0.250 0.375
Te17 0.582 0.859 0.414
Sb10 0.125 0.375 0.250
Sb11 0.375 0.125 0.750
Te18 0.555 0.223 0.141
Te19 0.418 0.277 0.333
Te20 0.141 0.723 0.555
Te21 0.641 0.586 0.918
Sb12 0.125 0.750 0.375
Sb13 0.625 0.750 0.875
Te22 0.586 0.641 0.418
Te23 0.414 0.359 0.582
Te24 0.667 0.445 0.586
Y8 0.750 0.875 0.625
Te25 0.641 0.055 0.223
Te26 0.945 0.586 0.167
Sb14 0.500 0.000 0.500
Te27 0.723 0.141 0.055
Te28 0.833 0.918 0.277
Sb15 0.500 0.500 0.500
Te29 0.086 0.918 0.141
Te30 0.167 0.082 0.723
Y9 0.125 0.250 0.875
Te31 0.859 0.582 0.914
Sb16 0.750 0.125 0.875
Sb17 0.625 0.875 0.250
Sb18 0.500 0.000 0.000
Y10 0.375 0.750 0.625
Te32 0.167 0.086 0.945
Te33 0.055 0.414 0.833
Te34 0.945 0.359 0.277
Te35 0.833 0.914 0.055
Te36 0.555 0.333 0.914
Te37 0.333 0.777 0.418
Te38 0.445 0.777 0.859
Te39 0.914 0.833 0.555
Sb19 0.000 0.500 0.000
Te40 0.359 0.414 0.082
Te41 0.082 0.914 0.359
Te42 0.086 0.167 0.445
Sb20 0.250 0.875 0.125
Te43 0.418 0.141 0.586
Te44 0.055 0.641 0.723
Y11 0.750 0.375 0.125
Te45 0.723 0.582 0.167
Te46 0.359 0.945 0.777
Y12 0.125 0.875 0.750
Te47 0.859 0.277 0.445
Te48 0.223 0.555 0.641
# theoretical density: 5.35 g cm⁻³
# uncorrected formation energy: -0.413 eV/atom


Repeat the first record exactly.
# Y2Tm3Te8 (PBE, optimized geometry)
data_Y2Tm3Te8
_chemical_formula_sum 'Y2 Tm3 Te8'
_cell_length_a 7.448
_cell_length_b 8.637
_cell_length_c 8.756
_cell_angle_alpha 119.55
_cell_angle_beta 106.00
_cell_angle_gamma 90.00
_space_group_name_H-M_alt 'P 1'
_space_group_IT_number 1
_space_group_name_Hall 'P 1'
loop_
_atom_site_label
_atom_site_fract_x
_atom_site_fract_y
_atom_site_fract_z
Te1 0.903 0.617 0.235
Y1 0.670 0.749 0.498
Te2 0.913 0.119 0.239
Te3 0.097 0.383 0.765
Te4 0.588 0.128 0.759
Tm1 0.500 0.000 0.000
Tm2 0.000 0.257 0.000
Te5 0.412 0.368 0.241
Te6 0.087 0.881 0.761
Te7 0.588 0.632 0.759
Y2 0.330 0.251 0.502
Tm3 0.000 0.743 0.000
Te8 0.412 0.872 0.241
# theoretical density: 6.09 g cm⁻³
# uncorrected formation energy: -1.247 eV/atom